Entry from Alexandria: crystalline Ho6AlAg at its relaxed geometry (PBE).

Its energy of formation is -0.15 eV per atom. Its energy relative to the lowest polymorph listed for this composition is 0.0 meV/atom.

Cell: 9.484 9.484 9.484 Å, 149.40 149.40 43.82°
Element x y z (fractional)
Ho: 0.108 0.608 0.500
Ho: 0.248 0.248 0.000
Ho: 0.392 0.892 0.500
Ho: 0.608 0.108 0.500
Ho: 0.752 0.752 0.000
Ho: 0.892 0.392 0.500
Al: 0.000 0.000 0.000
Ag: 0.500 0.500 0.000

Entry from Alexandria: crystalline HoAl7Ag5 at its relaxed geometry (PBE).

Its energy of formation is -0.17 eV per atom.

Cell: 7.052 7.052 7.052 Å, 133.87 97.36 100.31°
Element x y z (fractional)
Ho: 0.000 0.000 0.000
Al: 0.215 0.509 0.707
Al: 0.351 0.351 0.000
Al: 0.351 0.999 0.352
Al: 0.645 0.645 0.000
Al: 0.648 0.999 0.648
Al: 0.782 0.282 0.500
Al: 0.802 0.509 0.293
Ag: 0.220 0.720 0.500
Ag: 0.517 0.008 0.011
Ag: 0.517 0.506 0.509
Ag: 0.997 0.008 0.491
Ag: 0.997 0.506 0.989